Model one:
FePdRh | PBE | relaxed

Summary:
For the mass density, the calculation gives 10.45 Mg/m³. Its calculated volume is 14.1 Å³/atom.

The structure in CIF format:
```
data_FePdRh
_chemical_formula_sum 'Fe2 Pd2 Rh2'
_cell_length_a 2.748
_cell_length_b 2.748
_cell_length_c 11.168
_cell_angle_alpha 90.00
_cell_angle_beta 90.00
_cell_angle_gamma 90.00
_space_group_name_H-M_alt 'I 4 m m'
_space_group_IT_number 107
_space_group_name_Hall 'I 4 -2'
loop_
_atom_site_label
_atom_site_type_symbol
_atom_site_fract_x
_atom_site_fract_y
_atom_site_fract_z
Fe1 Fe 0.000 0.000 0.000
Pd1 Pd 0.000 0.000 0.337
Rh1 Rh 0.000 0.000 0.653
```

=====

Model two:
FePdRh | PBE | relaxed

Summary:
For the mass density, the calculation gives 10.50 Mg/m³. Its calculated volume is 14.0 Å³/atom.

The structure in CIF format:
```
data_FePdRh
_chemical_formula_sum 'Fe2 Pd2 Rh2'
_cell_length_a 2.733
_cell_length_b 2.733
_cell_length_c 11.226
_cell_angle_alpha 90.00
_cell_angle_beta 90.00
_cell_angle_gamma 90.00
_space_group_name_H-M_alt 'P 4/n m m'
_space_group_IT_number 129
loop_
_space_group_symop_operation_xyz
'x,y,z'
'-x,-y,-z'
'-y+1/2,x,z'
'y+1/2,-x,-z'
'-x+1/2,-y+1/2,z'
'x+1/2,y+1/2,-z'
'y,-x+1/2,z'
'-y,x+1/2,-z'
'x+1/2,-y,-z'
'-x+1/2,y,z'
'-y,-x,-z'
'y,x,z'
'-x,y+1/2,-z'
'x,-y+1/2,z'
'y+1/2,x+1/2,-z'
'-y+1/2,-x+1/2,z'
loop_
_atom_site_label
_atom_site_type_symbol
_atom_site_fract_x
_atom_site_fract_y
_atom_site_fract_z
Fe1 Fe 0.250 0.250 0.244
Pd1 Pd 0.250 0.250 0.593
Rh1 Rh 0.250 0.250 0.914
```

=====

The calculated energies rank the structures as follows, beginning with the most stable: model two, model one.

=====

Model one:
FePd6Rh | PBE | relaxed

Summary:
For the mass density, the calculation gives 11.08 Mg/m³. Its calculated volume is 14.9 Å³/atom.

The structure in CIF format:
```
data_FePd6Rh
_chemical_formula_sum 'Fe1 Pd6 Rh1'
_cell_length_a 3.907
_cell_length_b 3.907
_cell_length_c 7.830
_cell_angle_alpha 90.00
_cell_angle_beta 90.00
_cell_angle_gamma 90.00
_space_group_name_H-M_alt 'P 4/m m m'
_space_group_IT_number 123
_space_group_name_Hall '-P 4 2'
loop_
_atom_site_label
_atom_site_type_symbol
_atom_site_fract_x
_atom_site_fract_y
_atom_site_fract_z
Fe1 Fe 0.000 0.000 0.000
Pd1 Pd 0.000 0.500 0.245
Pd2 Pd 0.500 0.500 0.000
Pd3 Pd 0.500 0.500 0.500
Rh1 Rh 0.000 0.000 0.500
```

=====

Model two:
FePd6Rh | PBE | relaxed

Summary:
For the mass density, the calculation gives 8.56 Mg/m³. Its calculated volume is 19.3 Å³/atom.

The structure in CIF format:
```
data_FePd6Rh
_chemical_formula_sum 'Fe3 Pd18 Rh3'
_cell_length_a 5.2540
_cell_length_b 5.2540
_cell_length_c 19.4090
_cell_angle_alpha 90.00
_cell_angle_beta 90.00
_cell_angle_gamma 120.00
_space_group_name_H-M_alt 'R -3 m'
_space_group_IT_number 166
_space_group_name_Hall '-R 3 2"'
loop_
_atom_site_label
_atom_site_type_symbol
_atom_site_fract_x
_atom_site_fract_y
_atom_site_fract_z
Fe1 Fe 0.0000 0.0000 0.0000
Pd1 Pd 0.0047 0.5023 0.4321
Rh1 Rh 0.0000 0.0000 0.5000
```

=====

The calculated energies rank the structures as follows, beginning with the most stable: model one, model two.

=====

Model one:
Fe2Pd2Rh | PBE | relaxed

Summary:
For the mass density, the calculation gives 10.08 Mg/m³. Its calculated volume is 14.1 Å³/atom.

The structure in CIF format:
```
data_Fe2Pd2Rh
_chemical_formula_sum 'Fe4 Pd4 Rh2'
_cell_length_a 8.347
_cell_length_b 3.863
_cell_length_c 5.890
_cell_angle_alpha 90.00
_cell_angle_beta 132.12
_cell_angle_gamma 90.00
_space_group_name_H-M_alt 'C 1 2/m 1'
_space_group_IT_number 12
loop_
_space_group_symop_operation_xyz
'x,y,z'
'-x,-y,-z'
'-x,y,-z'
'x,-y,z'
'x+1/2,y+1/2,z'
'-x+1/2,-y+1/2,-z'
'-x+1/2,y+1/2,-z'
'x+1/2,-y+1/2,z'
loop_
_atom_site_label
_atom_site_type_symbol
_atom_site_fract_x
_atom_site_fract_y
_atom_site_fract_z
Fe1 Fe 0.094 0.000 0.296
Pd1 Pd 0.201 0.500 0.111
Rh1 Rh 0.000 0.500 0.500
```

=====

Model two:
Fe2Pd2Rh | PBE | relaxed

Summary:
For the mass density, the calculation gives 10.25 Mg/m³. Its calculated volume is 13.8 Å³/atom.

The structure in CIF format:
```
data_Fe2Pd2Rh
_chemical_formula_sum 'Fe4 Pd4 Rh2'
_cell_length_a 6.020
_cell_length_b 6.020
_cell_length_c 3.821
_cell_angle_alpha 90.00
_cell_angle_beta 90.00
_cell_angle_gamma 90.00
_space_group_name_H-M_alt 'P 4/m b m'
_space_group_IT_number 127
_space_group_name_Hall '-P 4 2ab'
loop_
_atom_site_label
_atom_site_type_symbol
_atom_site_fract_x
_atom_site_fract_y
_atom_site_fract_z
Fe1 Fe 0.120 0.380 0.000
Pd1 Pd 0.176 0.676 0.500
Rh1 Rh 0.000 0.000 0.000
```

=====

The calculated energies rank the structures as follows, beginning with the most stable: model one, model two.

=====

Model one:
Fe6Pd12Rh | PBE | relaxed

Summary:
For the mass density, the calculation gives 10.35 Mg/m³. Its calculated volume is 14.5 Å³/atom.

The structure in CIF format:
```
data_Fe6Pd12Rh
_chemical_formula_sum 'Fe18 Pd36 Rh3'
_cell_length_a 11.9330
_cell_length_b 11.9330
_cell_length_c 6.6925
_cell_angle_alpha 90.00
_cell_angle_beta 90.00
_cell_angle_gamma 120.00
_space_group_name_H-M_alt 'R -3'
_space_group_IT_number 148
_space_group_name_Hall '-R 3'
loop_
_atom_site_label
_atom_site_type_symbol
_atom_site_fract_x
_atom_site_fract_y
_atom_site_fract_z
Fe1 Fe 0.0301 0.2790 0.3355
Pd1 Pd 0.0087 0.1404 0.6631
Pd2 Pd 0.0664 0.5586 0.6722
Rh1 Rh 0.0000 0.0000 0.0000
```

=====

Model two:
Fe6Pd12Rh | PBE | relaxed

Summary:
For the mass density, the calculation gives 9.78 Mg/m³. Its calculated volume is 15.3 Å³/atom.

The structure in CIF format:
```
data_Fe6Pd12Rh
_chemical_formula_sum 'Fe18 Pd36 Rh3'
_cell_length_a 11.4618
_cell_length_b 11.4618
_cell_length_c 7.6799
_cell_angle_alpha 90.00
_cell_angle_beta 90.00
_cell_angle_gamma 120.00
_space_group_name_H-M_alt 'R -3'
_space_group_IT_number 148
_space_group_name_Hall '-R 3'
loop_
_atom_site_label
_atom_site_type_symbol
_atom_site_fract_x
_atom_site_fract_y
_atom_site_fract_z
Fe1 Fe 0.0343 0.1679 0.2512
Pd1 Pd 0.0085 0.2396 0.5595
Pd2 Pd 0.0717 0.2451 0.9387
Rh1 Rh 0.0000 0.0000 0.5000
```

=====

The calculated energies rank the structures as follows, beginning with the most stable: model one, model two.

=====

Model one:
FePd3Rh | PBE | relaxed

Summary:
For the mass density, the calculation gives 8.66 Mg/m³. Its calculated volume is 18.3 Å³/atom.

The structure in CIF format:
```
data_FePd3Rh
_chemical_formula_sum 'Fe1 Pd3 Rh1'
_cell_length_a 4.509
_cell_length_b 4.509
_cell_length_c 4.509
_cell_angle_alpha 90.00
_cell_angle_beta 90.00
_cell_angle_gamma 90.00
_space_group_name_H-M_alt 'P m -3 m'
_space_group_IT_number 221
_space_group_name_Hall '-P 4 2 3'
loop_
_atom_site_label
_atom_site_type_symbol
_atom_site_fract_x
_atom_site_fract_y
_atom_site_fract_z
Fe1 Fe 0.000 0.000 0.000
Pd1 Pd 0.000 0.000 0.500
Rh1 Rh 0.500 0.500 0.500
```

=====

Model two:
FePd3Rh | PBE | relaxed

Summary:
For the mass density, the calculation gives 10.31 Mg/m³. Its calculated volume is 15.4 Å³/atom.

The structure in CIF format:
```
data_FePd3Rh
_chemical_formula_sum 'Fe6 Pd18 Rh6'
_cell_length_a 7.5374
_cell_length_b 7.5374
_cell_length_c 9.3889
_cell_angle_alpha 90.00
_cell_angle_beta 90.00
_cell_angle_gamma 120.00
_space_group_name_H-M_alt 'R -3'
_space_group_IT_number 148
_space_group_name_Hall '-R 3'
loop_
_atom_site_label
_atom_site_type_symbol
_atom_site_fract_x
_atom_site_fract_y
_atom_site_fract_z
Fe1 Fe 0.0000 0.0000 0.1245
Pd1 Pd 0.0009 0.6593 0.4206
Rh1 Rh 0.0000 0.0000 0.3696
```

=====

The calculated energies rank the structures as follows, beginning with the most stable: model two, model one.

=====

Model one:
FeSbPd2Rh | PBE | relaxed

Summary:
For the mass density, the calculation gives 7.17 Mg/m³. Its calculated volume is 22.9 Å³/atom.

The structure in CIF format:
```
data_FeSbPd2Rh
_chemical_formula_sum 'Fe1 Sb1 Pd2 Rh1'
_cell_length_a 4.858
_cell_length_b 4.858
_cell_length_c 4.844
_cell_angle_alpha 90.00
_cell_angle_beta 90.00
_cell_angle_gamma 90.00
_space_group_name_H-M_alt 'P 4/m m m'
_space_group_IT_number 123
_space_group_name_Hall '-P 4 2'
loop_
_atom_site_label
_atom_site_type_symbol
_atom_site_fract_x
_atom_site_fract_y
_atom_site_fract_z
Fe1 Fe 0.000 0.000 0.000
Sb1 Sb 0.500 0.500 0.500
Pd1 Pd 0.000 0.500 0.500
Rh1 Rh 0.500 0.500 0.000
```

=====

Model two:
FeSbPd2Rh | PBE | relaxed

Summary:
For the mass density, the calculation gives 7.62 Mg/m³. Its calculated volume is 21.5 Å³/atom.

The structure in CIF format:
```
data_FeSbPd2Rh
_chemical_formula_sum 'Fe1 Sb1 Pd2 Rh1'
_cell_length_a 4.893
_cell_length_b 4.893
_cell_length_c 4.490
_cell_angle_alpha 90.00
_cell_angle_beta 90.00
_cell_angle_gamma 90.00
_space_group_name_H-M_alt 'P 4/m m m'
_space_group_IT_number 123
_space_group_name_Hall '-P 4 2'
loop_
_atom_site_label
_atom_site_type_symbol
_atom_site_fract_x
_atom_site_fract_y
_atom_site_fract_z
Fe1 Fe 0.000 0.000 0.000
Sb1 Sb 0.500 0.500 0.000
Pd1 Pd 0.000 0.500 0.500
Rh1 Rh 0.000 0.000 0.500
```

=====

The calculated energies rank the structures as follows, beginning with the most stable: model two, model one.